one | Density functional theory data (PBE-GGA) for a relaxed TlZnCl3 crystal.

Computed properties:
- SG = No. 1

Lattice parameters (Å, degrees): 6.2734 6.9645 7.4738 99.27 90.83 102.12
Last column: nearest neighbours and their distance in Å.
Fractional positions:
Tl (0.0000, 0.0000, 0.0000)  6 Cl 3.18-3.43
Tl (0.4248, 0.8591, 0.5423)  6 Cl 3.19-3.56
Zn (0.6716, 0.4267, 0.1970)  4 Cl 2.23-2.39
Zn (0.9282, 0.3588, 0.5636)  4 Cl 2.23-2.38
Cl (0.0442, 0.4449, 0.2800)  2 Zn 2.38
Cl (0.0957, 0.5924, 0.7902)  1 Zn 2.23
Cl (0.5522, 0.1619, 0.9781)  1 Zn 2.25
Cl (0.5605, 0.3590, 0.4894)  2 Zn 2.37-2.39
Cl (0.6071, 0.7202, 0.1584)  1 Zn 2.23
Cl (0.9568, 0.0427, 0.5794)  1 Zn 2.27

***

two | Density functional theory data (PBE-GGA) for a relaxed TlZnCl3 crystal.

Computed properties:
- SG = No. 194

Lattice parameters (Å, degrees): 4.5799 4.5799 16.2727 90.00 90.00 120.00
Last column: nearest neighbours and their distance in Å.
Fractional positions:
Tl (0.0000, 0.0000, 0.0000)  6 Cl 3.20
Tl (0.0000, 0.0000, 0.5000)  6 Cl 3.20
Zn (0.3333, 0.6667, 0.2500)  2 Cl 2.27
Zn (0.6667, 0.3333, 0.7500)  2 Cl 2.27
Cl (0.0000, 0.0000, 0.2500)  3 Zn 2.64
Cl (0.0000, 0.0000, 0.7500)  3 Zn 2.64
Cl (0.3333, 0.6667, 0.1102)  1 Zn 2.27
Cl (0.3333, 0.6667, 0.3898)  1 Zn 2.27
Cl (0.6667, 0.3333, 0.6102)  1 Zn 2.27
Cl (0.6667, 0.3333, 0.8898)  1 Zn 2.27

***

three | Density functional theory data (PBE-GGA) for a relaxed TlZnCl3 crystal.

Computed properties:
- SG = No. 160

Lattice parameters (Å, degrees): 7.3577 7.3577 10.1061 90.00 90.00 120.00
Last column: nearest neighbours and their distance in Å.
Fractional positions:
Tl (0.0000, 0.0000, 0.0000)  3 Cl 3.16
Tl (0.3333, 0.6667, 0.6667)  3 Cl 3.16
Tl (0.6667, 0.3333, 0.3333)  3 Cl 3.16
Zn (0.0000, 0.0000, 0.5403)  3 Cl 2.21
Zn (0.3333, 0.6667, 0.2070)  3 Cl 2.21
Zn (0.6667, 0.3333, 0.8736)  3 Cl 2.21
Cl (0.0097, 0.5048, 0.9031)  1 Zn 2.21
Cl (0.1618, 0.3237, 0.2364)  1 Zn 2.21
Cl (0.1618, 0.8382, 0.2364)  1 Zn 2.21
Cl (0.3430, 0.1715, 0.5698)  1 Zn 2.21
Cl (0.4952, 0.5048, 0.9031)  1 Zn 2.21
Cl (0.4952, 0.9903, 0.9031)  1 Zn 2.21
Cl (0.6763, 0.8382, 0.2364)  1 Zn 2.21
Cl (0.8285, 0.1715, 0.5698)  1 Zn 2.21
Cl (0.8285, 0.6570, 0.5698)  1 Zn 2.21

***

Pick one: it beats the second-best structure by 65 meV/atom.

***

one | Density functional theory data (PBE-GGA) for a relaxed TlZnCl3 crystal.

Computed properties:
- SG = No. 12

Lattice parameters (Å, degrees): 7.8636 7.8636 5.0562 90.87 90.87 74.73
Last column: nearest neighbours and their distance in Å.
Fractional positions:
Tl (0.2071, 0.2071, 0.2748)  7 Cl 3.23-3.52
Tl (0.7929, 0.7929, 0.7252)  7 Cl 3.23-3.52
Zn (0.3279, 0.6721, 0.5000)  4 Cl 2.24-2.37
Zn (0.6721, 0.3279, 0.5000)  4 Cl 2.24-2.37
Cl (0.0832, 0.6702, 0.2685)  1 Zn 2.24
Cl (0.3298, 0.9168, 0.7315)  1 Zn 2.24
Cl (0.4018, 0.4018, 0.7317)  2 Zn 2.37
Cl (0.5982, 0.5982, 0.2683)  2 Zn 2.37
Cl (0.6702, 0.0832, 0.2685)  1 Zn 2.24
Cl (0.9168, 0.3298, 0.7315)  1 Zn 2.24

***

two | Density functional theory data (PBE-GGA) for a relaxed TlZnCl3 crystal.

Computed properties:
- SG = No. 119

Lattice parameters (Å, degrees): 12.3752 12.3752 12.3752 154.92 154.92 35.77
Last column: nearest neighbours and their distance in Å.
Fractional positions:
Tl (0.0000, 0.0000, 0.0000)  4 Cl 3.07
Tl (0.7500, 0.2500, 0.5000)  4 Cl 3.03
Zn (0.1975, 0.6975, 0.5000)  1 Zn 2.47, 2 Cl 2.69
Zn (0.3025, 0.8025, 0.5000)  1 Zn 2.47, 2 Cl 2.69
Cl (0.3096, 0.3096, 0.0000)  2 Zn 2.69
Cl (0.3663, 0.1171, 0.2492)  2 Cl 2.68-2.70
Cl (0.6904, 0.6904, 0.0000)  2 Zn 2.69
Cl (0.8679, 0.1171, 0.7508)  2 Cl 2.68-2.70
Cl (0.8829, 0.1321, 0.2492)  2 Cl 2.68-2.70
Cl (0.8829, 0.6337, 0.7508)  2 Cl 2.68-2.70

***

Pick one: it beats the second-best structure by 749 meV/atom.

***

one | Density functional theory data (PBE-GGA) for a relaxed TlZnCl2 crystal.

Computed properties:
- SG = No. 44

Lattice parameters (Å, degrees): 3.4665 4.4923 13.4957 90.00 90.00 90.00
Last column: nearest neighbours and their distance in Å.
Fractional positions:
Tl (0.0000, 0.0000, 0.0000)  2 Cl 3.08, 2 Zn 3.33
Tl (0.5000, 0.5000, 0.5000)  2 Cl 3.08, 2 Zn 3.33
Zn (0.0000, 0.5000, 0.2896)  2 Cl 2.48
Zn (0.5000, 0.0000, 0.7896)  2 Cl 2.48
Cl (0.0000, 0.0000, 0.6587)  2 Zn 2.48
Cl (0.0000, 0.5000, 0.8440)  4 Zn 2.93, 2 Tl 3.08
Cl (0.5000, 0.0000, 0.3440)  4 Zn 2.93, 2 Tl 3.08
Cl (0.5000, 0.5000, 0.1587)  2 Zn 2.48

***

two | Density functional theory data (PBE-GGA) for a relaxed TlZnCl2 crystal.

Computed properties:
- SG = No. 216

Lattice parameters (Å, degrees): 7.3258 7.3258 7.3258 90.00 90.00 90.00
Last column: nearest neighbours and their distance in Å.
Fractional positions:
Tl (0.0000, 0.0000, 0.0000)  4 Zn 3.17, 4 Cl 3.17
Tl (0.0000, 0.5000, 0.5000)  4 Zn 3.17, 4 Cl 3.17
Tl (0.5000, 0.0000, 0.5000)  4 Zn 3.17, 4 Cl 3.17
Tl (0.5000, 0.5000, 0.0000)  4 Zn 3.17, 4 Cl 3.17
Zn (0.2500, 0.2500, 0.7500)  4 Tl 3.17, 4 Cl 3.17
Zn (0.2500, 0.7500, 0.2500)  4 Tl 3.17, 4 Cl 3.17
Zn (0.7500, 0.2500, 0.2500)  4 Tl 3.17, 4 Cl 3.17
Zn (0.7500, 0.7500, 0.7500)  4 Cl 3.17, 4 Tl 3.17
Cl (0.0000, 0.0000, 0.5000)  4 Cl 3.17, 4 Zn 3.17
Cl (0.0000, 0.5000, 0.0000)  4 Cl 3.17, 4 Zn 3.17
Cl (0.2500, 0.2500, 0.2500)  4 Tl 3.17, 4 Cl 3.17
Cl (0.2500, 0.7500, 0.7500)  4 Tl 3.17, 4 Cl 3.17
Cl (0.5000, 0.0000, 0.0000)  4 Cl 3.17, 4 Zn 3.17
Cl (0.5000, 0.5000, 0.5000)  4 Cl 3.17, 4 Zn 3.17
Cl (0.7500, 0.2500, 0.7500)  4 Tl 3.17, 4 Cl 3.17
Cl (0.7500, 0.7500, 0.2500)  4 Tl 3.17, 4 Cl 3.17

***

Pick one: it beats the second-best structure by 364 meV/atom.

***

one | Density functional theory data (PBE-GGA) for a relaxed TlZnCl2 crystal.

Computed properties:
- SG = No. 123

Lattice parameters (Å, degrees): 5.2424 5.2424 3.6813 90.00 90.00 90.00
Last column: nearest neighbours and their distance in Å.
Fractional positions:
Tl (0.0000, 0.0000, 0.0000)  8 Cl 3.20
Zn (0.5000, 0.5000, 0.0000)  8 Cl 3.20
Cl (0.0000, 0.5000, 0.5000)  4 Zn 3.20, 4 Tl 3.20
Cl (0.5000, 0.0000, 0.5000)  4 Zn 3.20, 4 Tl 3.20

***

two | Density functional theory data (PBE-GGA) for a relaxed TlZnCl2 crystal.

Computed properties:
- SG = No. 122

Lattice parameters (Å, degrees): 7.1561 7.1561 10.3249 90.00 90.00 90.00
Last column: nearest neighbours and their distance in Å.
Fractional positions:
Tl (0.0000, 0.0000, 0.0000)  4 Cl 3.28
Tl (0.0000, 0.5000, 0.2500)  4 Cl 3.28
Tl (0.5000, 0.0000, 0.7500)  4 Cl 3.28
Tl (0.5000, 0.5000, 0.5000)  4 Cl 3.28
Zn (0.0000, 0.0000, 0.5000)  4 Cl 2.49
Zn (0.0000, 0.5000, 0.7500)  4 Cl 2.49
Zn (0.5000, 0.0000, 0.2500)  4 Cl 2.49
Zn (0.5000, 0.5000, 0.0000)  4 Cl 2.49
Cl (0.1608, 0.2500, 0.6250)  2 Zn 2.49
Cl (0.2500, 0.6608, 0.8750)  2 Zn 2.49
Cl (0.2500, 0.8392, 0.3750)  2 Zn 2.49
Cl (0.3392, 0.2500, 0.1250)  2 Zn 2.49
Cl (0.6608, 0.7500, 0.1250)  2 Zn 2.49
Cl (0.7500, 0.1608, 0.3750)  2 Zn 2.49
Cl (0.7500, 0.3392, 0.8750)  2 Zn 2.49
Cl (0.8392, 0.7500, 0.6250)  2 Zn 2.49

***

three | Density functional theory data (PBE-GGA) for a relaxed TlZnCl2 crystal.

Computed properties:
- SG = No. 35

Lattice parameters (Å, degrees): 3.7329 6.6781 9.0393 90.00 90.00 90.00
Last column: nearest neighbours and their distance in Å.
Fractional positions:
Tl (0.0000, 0.0000, 0.0000)  2 Cl 2.72, 2 Zn 2.90
Tl (0.5000, 0.5000, 0.0000)  2 Cl 2.72, 2 Zn 2.90
Zn (0.0000, 0.5000, 0.2449)  2 Cl 2.36
Zn (0.5000, 0.0000, 0.2449)  2 Cl 2.36
Cl (0.0000, 0.0000, 0.4050)  2 Zn 2.36
Cl (0.0000, 0.5000, 0.7807)  2 Tl 2.72
Cl (0.5000, 0.0000, 0.7807)  2 Tl 2.72
Cl (0.5000, 0.5000, 0.4050)  2 Zn 2.36

***

four | Density functional theory data (PBE-GGA) for a relaxed TlZnCl2 crystal.

Computed properties:
- SG = No. 166

Lattice parameters (Å, degrees): 3.5671 3.5671 28.6799 90.00 90.00 120.00
Last column: nearest neighbours and their distance in Å.
Fractional positions:
Tl (0.0000, 0.0000, 0.0000)  2 Cl 3.37, 6 Tl 3.57
Tl (0.3333, 0.6667, 0.6667)  2 Cl 3.37, 6 Tl 3.57
Tl (0.6667, 0.3333, 0.3333)  2 Cl 3.37, 6 Tl 3.57
Zn (0.0000, 0.0000, 0.5000)  6 Cl 2.50
Zn (0.3333, 0.6667, 0.1667)  6 Cl 2.50
Zn (0.6667, 0.3333, 0.8333)  6 Cl 2.50
Cl (0.0000, 0.0000, 0.1175)  3 Zn 2.50
Cl (0.0000, 0.0000, 0.8825)  3 Zn 2.50
Cl (0.3333, 0.6667, 0.5491)  3 Zn 2.50
Cl (0.3333, 0.6667, 0.7842)  3 Zn 2.50
Cl (0.6667, 0.3333, 0.2158)  3 Zn 2.50
Cl (0.6667, 0.3333, 0.4509)  3 Zn 2.50

***

Pick four: it beats the second-best structure by 101 meV/atom.

***

one | Density functional theory data (PBE-GGA) for a relaxed TlZnCl2 crystal.

Computed properties:
- SG = No. 225

Lattice parameters (Å, degrees): 7.3997 7.3997 7.3997 90.00 90.00 90.00
Last column: nearest neighbours and their distance in Å.
Fractional positions:
Tl (0.0000, 0.0000, 0.0000)  8 Cl 3.20
Tl (0.0000, 0.5000, 0.5000)  8 Cl 3.20
Tl (0.5000, 0.0000, 0.5000)  8 Cl 3.20
Tl (0.5000, 0.5000, 0.0000)  8 Cl 3.20
Zn (0.0000, 0.0000, 0.5000)  8 Cl 3.20
Zn (0.0000, 0.5000, 0.0000)  8 Cl 3.20
Zn (0.5000, 0.0000, 0.0000)  8 Cl 3.20
Zn (0.5000, 0.5000, 0.5000)  8 Cl 3.20
Cl (0.2500, 0.2500, 0.2500)  4 Tl 3.20, 4 Zn 3.20
Cl (0.2500, 0.2500, 0.7500)  4 Tl 3.20, 4 Zn 3.20
Cl (0.2500, 0.7500, 0.2500)  4 Tl 3.20, 4 Zn 3.20
Cl (0.2500, 0.7500, 0.7500)  4 Tl 3.20, 4 Zn 3.20
Cl (0.7500, 0.2500, 0.2500)  4 Tl 3.20, 4 Zn 3.20
Cl (0.7500, 0.2500, 0.7500)  4 Tl 3.20, 4 Zn 3.20
Cl (0.7500, 0.7500, 0.2500)  4 Tl 3.20, 4 Zn 3.20
Cl (0.7500, 0.7500, 0.7500)  4 Tl 3.20, 4 Zn 3.20

***

two | Density functional theory data (PBE-GGA) for a relaxed TlZnCl2 crystal.

Computed properties:
- SG = No. 12

Lattice parameters (Å, degrees): 7.7036 7.6941 3.8232 90.00 106.38 90.00
Last column: nearest neighbours and their distance in Å.
Fractional positions:
Tl (0.0000, 0.0000, 0.0000)  4 Cl 3.00
Tl (0.5000, 0.5000, 0.0000)  4 Cl 3.00
Zn (0.0000, 0.5000, 0.0000)  4 Cl 3.00
Zn (0.5000, 0.0000, 0.0000)  4 Cl 3.00
Cl (0.2500, 0.2500, 0.5000)  2 Tl 3.00, 2 Zn 3.00
Cl (0.2500, 0.7500, 0.5000)  2 Tl 3.00, 2 Zn 3.00
Cl (0.7500, 0.2500, 0.5000)  2 Tl 3.00, 2 Zn 3.00
Cl (0.7500, 0.7500, 0.5000)  2 Tl 3.00, 2 Zn 3.00

***

Pick two: it beats the second-best structure by 16 meV/atom.

***

one | Density functional theory data (PBE-GGA) for a relaxed TlZnCl2 crystal.

Computed properties:
- SG = No. 12

Lattice parameters (Å, degrees): 7.6024 4.3792 7.1755 90.00 111.45 90.00
Last column: nearest neighbours and their distance in Å.
Fractional positions:
Tl (0.0000, 0.0000, 0.0000)  6 Cl 3.22
Tl (0.5000, 0.5000, 0.0000)  6 Cl 3.22
Zn (0.0000, 0.5000, 0.5000)  6 Cl 2.85-2.91
Zn (0.5000, 0.0000, 0.5000)  6 Cl 2.85-2.91
Cl (0.2301, 0.0000, 0.7015)  3 Zn 2.85-2.91
Cl (0.2699, 0.5000, 0.2985)  3 Zn 2.85-2.91
Cl (0.7301, 0.5000, 0.7015)  3 Zn 2.85-2.91
Cl (0.7699, 0.0000, 0.2985)  3 Zn 2.85-2.91

***

two | Density functional theory data (PBE-GGA) for a relaxed TlZnCl2 crystal.

Computed properties:
- SG = No. 99

Lattice parameters (Å, degrees): 3.9415 3.9415 7.4114 90.00 90.00 90.00
Last column: nearest neighbours and their distance in Å.
Fractional positions:
Tl (0.0000, 0.0000, 0.0000)  5 Cl 3.11-3.28
Zn (0.5000, 0.5000, 0.4711)  5 Cl 2.54-2.79
Cl (0.0000, 0.0000, 0.4430)  4 Zn 2.79
Cl (0.5000, 0.5000, 0.8131)  1 Zn 2.54

***

Pick two: it beats the second-best structure by 40 meV/atom.